1.
DFT (GGA-PBE) results for crystalline Sc4RuI5 at its relaxed geometry.

Values from the calculation:
ΔE_f (raw) ... -0.925 eV per atom
Space-group type ... C2/m, No. 12

Cell lengths 9.717, 9.717, 8.637 Å; angles 102.55, 102.55, 23.47 degrees
Element x y z (fractional)
1 Sc 0.000 0.000 0.209
2 Sc 0.000 0.000 0.791
3 Sc 0.371 0.371 0.936
4 Sc 0.629 0.629 0.064
5 Ru 0.500 0.500 0.000
6 I 0.163 0.163 0.327
7 I 0.166 0.166 0.836
8 I 0.500 0.500 0.500
9 I 0.834 0.834 0.164
10 I 0.837 0.837 0.673

=====

2.
DFT (GGA-PBE) results for crystalline NiWS2 at its relaxed geometry.

Values from the calculation:
ΔE_f (raw) ... 0.163 eV per atom
Energy above the most stable polymorph in this dataset ... 380 meV/atom
Space-group type ... Fm-3m, No. 225

Cell lengths 4.224, 4.224, 4.224 Å; angles 60.00, 60.00, 60.00 degrees
Element x y z (fractional)
1 Ni 0.000 0.000 0.000
2 W 0.500 0.500 0.500
3 S 0.250 0.250 0.250
4 S 0.750 0.750 0.750

=====

3.
DFT (GGA-PBE) results for crystalline TbTmAlGa at its relaxed geometry.

Values from the calculation:
Energy above the most stable polymorph in this dataset ... 0 meV/atom
Space-group type ... Amm2, No. 38

Cell lengths 4.050, 5.897, 5.897 Å; angles 43.71, 90.00, 90.00 degrees
Element x y z (fractional)
1 Tb 0.000 0.000 0.000
2 Tm 0.500 0.281 0.281
3 Al 0.000 0.713 0.713
4 Ga 0.500 0.562 0.562

=====

4.
DFT (GGA-PBE) results for crystalline Cu2AuCl at its relaxed geometry.

Values from the calculation:
ΔE_f (raw) ... 0.106 eV per atom
Energy above the most stable polymorph in this dataset ... 206 meV/atom
Space-group type ... R3m, No. 160

Cell lengths 7.989, 7.989, 7.989 Å; angles 22.93, 22.93, 22.93 degrees
Element x y z (fractional)
1 Cu 0.000 0.000 0.000
2 Cu 0.260 0.260 0.260
3 Au 0.514 0.514 0.514
4 Cl 0.731 0.731 0.731

=====

5.
DFT (GGA-PBE) results for crystalline AlCdMo2 at its relaxed geometry.

Values from the calculation:
Energy above the most stable polymorph in this dataset ... 166 meV/atom
Space-group type ... R-3m, No. 166

Cell lengths 9.597, 9.597, 9.597 Å; angles 17.17, 17.17, 17.17 degrees
Element x y z (fractional)
1 Al 0.000 0.000 0.000
2 Cd 0.500 0.500 0.500
3 Mo 0.255 0.255 0.255
4 Mo 0.745 0.745 0.745

=====

6.
DFT (GGA-PBE) results for crystalline Cs4K2ZnBi2 at its relaxed geometry.

Values from the calculation:
Electronic total energy ... -1.851 eV per atom
Space-group type ... C2/m, No. 12

Cell lengths 9.307, 9.307, 6.136 Å; angles 97.22, 97.22, 78.76 degrees
Element x y z (fractional)
1 Cs 0.089 0.653 0.789
2 Cs 0.347 0.911 0.211
3 Cs 0.653 0.089 0.789
4 Cs 0.911 0.347 0.211
5 K 0.360 0.360 0.281
6 K 0.640 0.640 0.719
7 Zn 0.000 0.000 0.500
8 Bi 0.179 0.179 0.711
9 Bi 0.821 0.821 0.289

=====

7.
DFT (GGA-PBE) results for crystalline CdHgAu2 at its relaxed geometry.

Values from the calculation:
Electronic total energy ... -1.974 eV per atom
Space-group type ... Cm, No. 8

Cell lengths 5.479, 5.479, 4.858 Å; angles 109.25, 109.25, 35.92 degrees
Element x y z (fractional)
1 Cd 0.000 0.000 0.000
2 Hg 0.778 0.778 0.371
3 Au 0.252 0.252 0.862
4 Au 0.527 0.527 0.509

=====

8.
DFT (GGA-PBE) results for crystalline KNi at its relaxed geometry.

Values from the calculation:
Energy above the most stable polymorph in this dataset ... 255 meV/atom
Space-group type ... Fddd, No. 70

Cell lengths 8.842, 8.129, 5.461 Å; angles 78.48, 64.27, 37.25 degrees
Element x y z (fractional)
1 K 0.041 0.709 0.041
2 K 0.291 0.959 0.291
3 K 0.709 0.041 0.709
4 K 0.959 0.291 0.959
5 Ni 0.300 0.300 0.450
6 Ni 0.450 0.450 0.300
7 Ni 0.550 0.550 0.700
8 Ni 0.700 0.700 0.550

=====

9.
DFT (GGA-PBE) results for crystalline InSi2IrOs at its relaxed geometry.

Values from the calculation:
ΔE_f (raw) ... 0.884 eV per atom
Energy above the most stable polymorph in this dataset ... 17 meV/atom
Space-group type ... P4/mmm, No. 123

Cell lengths 4.547, 4.547, 5.007 Å; angles 90.00, 90.00, 90.00 degrees
Element x y z (fractional)
1 In 0.000 0.000 0.000
2 Si 0.000 0.500 0.500
3 Si 0.500 0.000 0.500
4 Ir 0.500 0.500 0.500
5 Os 0.500 0.500 0.000

=====

10.
DFT (GGA-PBE) results for crystalline LiGe2Bi2 at its relaxed geometry.

Values from the calculation:
Energy above the most stable polymorph in this dataset ... 17 meV/atom
Space-group type ... I4/mmm, No. 139

Cell lengths 5.605, 5.605, 5.605 Å; angles 116.29, 116.29, 96.55 degrees
Element x y z (fractional)
1 Li 0.000 0.000 0.000
2 Ge 0.337 0.337 0.000
3 Ge 0.663 0.663 0.000
4 Bi 0.250 0.750 0.500
5 Bi 0.750 0.250 0.500

=====

11.
DFT (GGA-PBE) results for crystalline KAgAu at its relaxed geometry.

Values from the calculation:
Energy above the most stable polymorph in this dataset ... 119 meV/atom
Space-group type ... I4mm, No. 107

Cell lengths 6.372, 6.372, 6.372 Å; angles 145.11, 145.11, 50.17 degrees
Element x y z (fractional)
1 K 0.000 0.000 0.000
2 Ag 0.725 0.725 0.000
3 Au 0.282 0.282 0.000

=====

12.
DFT (GGA-PBE) results for crystalline Ac2Pm3Nd8 at its relaxed geometry.

Values from the calculation:
Energy above the most stable polymorph in this dataset ... 88 meV/atom
Space-group type ... R-3m, No. 166

Cell lengths 13.170, 13.170, 13.170 Å; angles 29.70, 29.70, 29.70 degrees
Element x y z (fractional)
1 Ac 0.140 0.140 0.140
2 Ac 0.860 0.860 0.860
3 Pm 0.312 0.312 0.312
4 Pm 0.500 0.500 0.500
5 Pm 0.688 0.688 0.688
6 Nd 0.221 0.221 0.722
7 Nd 0.221 0.722 0.221
8 Nd 0.227 0.227 0.227
9 Nd 0.278 0.779 0.779
10 Nd 0.722 0.221 0.221
11 Nd 0.773 0.773 0.773
12 Nd 0.779 0.278 0.779
13 Nd 0.779 0.779 0.278

=====

13.
DFT (GGA-PBE) results for crystalline YZrH3 at its relaxed geometry.

Values from the calculation:
Energy above the most stable polymorph in this dataset ... 0 meV/atom
Space-group type ... Pm-3m, No. 221

Cell lengths 3.924, 3.924, 3.924 Å; angles 90.00, 90.00, 90.00 degrees
Element x y z (fractional)
1 Y 0.000 0.000 0.000
2 Zr 0.500 0.500 0.500
3 H 0.000 0.500 0.500
4 H 0.500 0.000 0.500
5 H 0.500 0.500 0.000

=====

14.
DFT (GGA-PBE) results for crystalline LaMoN3 at its relaxed geometry.

Values from the calculation:
ΔE_f (raw) ... -0.652 eV per atom
Space-group type ... P1, No. 1

Cell lengths 3.720, 6.158, 6.210 Å; angles 104.33, 99.11, 94.73 degrees
Element x y z (fractional)
1 La 0.000 0.000 0.000
2 La 0.195 0.668 0.405
3 Mo 0.530 0.458 0.951
4 Mo 0.687 0.267 0.530
5 N 0.005 0.345 0.873
6 N 0.153 0.100 0.478
7 N 0.394 0.050 0.660
8 N 0.533 0.764 0.117
9 N 0.597 0.324 0.217
10 N 0.687 0.592 0.662

=====

15.
DFT (GGA-PBE) results for crystalline Mg2BIr5 at its relaxed geometry.

Values from the calculation:
Electronic total energy ... -6.938 eV per atom
Space-group type ... I4mm, No. 107

Cell lengths 5.607, 5.607, 5.607 Å; angles 120.97, 120.97, 88.33 degrees
Element x y z (fractional)
1 Mg 0.000 0.500 0.500
2 Mg 0.500 0.000 0.500
3 B 0.286 0.286 0.000
4 Ir 0.003 0.003 0.000
5 Ir 0.513 0.513 0.525
6 Ir 0.513 0.989 0.000
7 Ir 0.989 0.513 0.000
8 Ir 0.989 0.989 0.475

=====

16.
DFT (GGA-PBE) results for crystalline Ba2Cd6Hg at its relaxed geometry.

Values from the calculation:
Electronic total energy ... -1.346 eV per atom
Space-group type ... P-3m1, No. 164

Cell lengths 6.626, 6.626, 6.886 Å; angles 90.00, 90.00, 120.00 degrees
Element x y z (fractional)
1 Ba 0.333 0.667 0.359
2 Ba 0.667 0.333 0.641
3 Cd 0.176 0.352 0.841
4 Cd 0.176 0.824 0.841
5 Cd 0.352 0.176 0.159
6 Cd 0.648 0.824 0.841
7 Cd 0.824 0.176 0.159
8 Cd 0.824 0.648 0.159
9 Hg 0.000 0.000 0.500

=====

17.
DFT (GGA-PBE) results for crystalline TbNd3Ho6Tm2 at its relaxed geometry.

Values from the calculation:
Electronic total energy ... -4.591 eV per atom
Space-group type ... C2/m, No. 12

Cell lengths 6.170, 6.170, 11.770 Å; angles 95.00, 95.00, 119.97 degrees
Element x y z (fractional)
1 Tb 0.000 0.000 0.000
2 Nd 0.167 0.833 0.500
3 Nd 0.500 0.500 0.500
4 Nd 0.833 0.167 0.500
5 Ho 0.082 0.416 0.246
6 Ho 0.252 0.252 0.754
7 Ho 0.416 0.082 0.246
8 Ho 0.584 0.918 0.754
9 Ho 0.748 0.748 0.246
10 Ho 0.918 0.584 0.754
11 Tm 0.333 0.667 0.000
12 Tm 0.667 0.333 0.000

=====

18.
DFT (GGA-PBE) results for crystalline Cs5HAu3 at its relaxed geometry.

Values from the calculation:
Electronic total energy ... -2.186 eV per atom
Space-group type ... I4/mcm, No. 140

Cell lengths 11.137, 11.137, 11.137 Å; angles 130.42, 130.42, 72.74 degrees
Element x y z (fractional)
1 Cs 0.000 0.000 0.000
2 Cs 0.023 0.523 0.838
3 Cs 0.185 0.023 0.500
4 Cs 0.315 0.815 0.838
5 Cs 0.477 0.315 0.500
6 Cs 0.500 0.500 0.000
7 Cs 0.523 0.685 0.500
8 Cs 0.685 0.185 0.162
9 Cs 0.815 0.977 0.500
10 Cs 0.977 0.477 0.162
11 H 0.250 0.750 0.500
12 H 0.750 0.250 0.500
13 Au 0.112 0.388 0.500
14 Au 0.250 0.250 0.000
15 Au 0.388 0.888 0.277
16 Au 0.612 0.112 0.723
17 Au 0.750 0.750 0.000
18 Au 0.888 0.612 0.500

=====

19.
DFT (GGA-PBE) results for crystalline CaAc2Dy at its relaxed geometry.

Values from the calculation:
Energy above the most stable polymorph in this dataset ... 27 meV/atom
Space-group type ... Fm-3m, No. 225

Cell lengths 6.107, 6.107, 6.107 Å; angles 60.00, 60.00, 60.00 degrees
Element x y z (fractional)
1 Ca 0.000 0.000 0.000
2 Ac 0.250 0.250 0.250
3 Ac 0.750 0.750 0.750
4 Dy 0.500 0.500 0.500

=====

20.
DFT (GGA-PBE) results for crystalline BeAlW2 at its relaxed geometry.

Values from the calculation:
Electronic total energy ... -8.150 eV per atom
Space-group type ... Pmm2, No. 25

Cell lengths 2.704, 3.047, 6.779 Å; angles 90.00, 90.00, 90.00 degrees
Element x y z (fractional)
1 Be 0.000 0.000 0.000
2 Al 0.500 0.500 0.791
3 W 0.000 0.000 0.522
4 W 0.500 0.500 0.218

=====

21.
DFT (GGA-PBE) results for crystalline Pm12Ga5Ge2 at its relaxed geometry.

Values from the calculation:
Electronic total energy ... -4.585 eV per atom
Space-group type ... C2/m, No. 12

Cell lengths 9.301, 9.301, 9.803 Å; angles 103.51, 103.51, 45.08 degrees
Element x y z (fractional)
1 Pm 0.007 0.007 0.285
2 Pm 0.066 0.583 0.896
3 Pm 0.105 0.591 0.433
4 Pm 0.409 0.895 0.567
5 Pm 0.417 0.934 0.104
6 Pm 0.463 0.463 0.181
7 Pm 0.537 0.537 0.819
8 Pm 0.583 0.066 0.896
9 Pm 0.591 0.105 0.433
10 Pm 0.895 0.409 0.567
11 Pm 0.934 0.417 0.104
12 Pm 0.993 0.993 0.715
13 Ga 0.174 0.174 0.832
14 Ga 0.194 0.194 0.358
15 Ga 0.500 0.500 0.500
16 Ga 0.806 0.806 0.642
17 Ga 0.826 0.826 0.168
18 Ge 0.188 0.812 0.000
19 Ge 0.812 0.188 0.000

=====

22.
DFT (GGA-PBE) results for crystalline Y4ThAl5 at its relaxed geometry.

Values from the calculation:
Electronic total energy ... -5.577 eV per atom
Space-group type ... P4/mmm, No. 123

Cell lengths 3.572, 3.572, 18.758 Å; angles 90.00, 90.00, 90.00 degrees
Element x y z (fractional)
1 Y 0.000 0.000 0.097
2 Y 0.000 0.000 0.292
3 Y 0.000 0.000 0.708
4 Y 0.000 0.000 0.903
5 Th 0.000 0.000 0.500
6 Al 0.500 0.500 0.000
7 Al 0.500 0.500 0.194
8 Al 0.500 0.500 0.391
9 Al 0.500 0.500 0.609
10 Al 0.500 0.500 0.806

=====

23.
DFT (GGA-PBE) results for crystalline Bi3OsF at its relaxed geometry.

Values from the calculation:
ΔE_f (raw) ... 0.527 eV per atom
Energy above the most stable polymorph in this dataset ... 116 meV/atom
Space-group type ... Pm-3m, No. 221

Cell lengths 4.883, 4.883, 4.883 Å; angles 90.00, 90.00, 90.00 degrees
Element x y z (fractional)
1 Bi 0.000 0.000 0.500
2 Bi 0.000 0.500 0.000
3 Bi 0.500 0.000 0.000
4 Os 0.500 0.500 0.500
5 F 0.000 0.000 0.000

=====

24.
DFT (GGA-PBE) results for crystalline Ir2Rh at its relaxed geometry.

Values from the calculation:
Energy above the most stable polymorph in this dataset ... 315 meV/atom
Space-group type ... P6_3/mmc, No. 194

Cell lengths 4.364, 4.364, 5.380 Å; angles 90.00, 90.00, 120.00 degrees
Element x y z (fractional)
1 Ir 0.000 0.000 0.000
2 Ir 0.000 0.000 0.500
3 Ir 0.333 0.667 0.250
4 Ir 0.667 0.333 0.750
5 Rh 0.333 0.667 0.750
6 Rh 0.667 0.333 0.250

=====

Number 1: density 4.80 g cm⁻³. Number 2: density 9.55 g cm⁻³. Number 3: density 7.24 g cm⁻³. Number 4: density 8.79 g cm⁻³. Number 5: density 8.18 g cm⁻³. Number 6: density 3.53 g cm⁻³. Number 7: density 14.63 g cm⁻³. Number 8: density 3.15 g cm⁻³. Number 9: density 8.88 g cm⁻³. Number 10: density 7.25 g cm⁻³. Number 11: density 6.78 g cm⁻³. Number 12: density 6.83 g cm⁻³. Number 13: density 5.03 g cm⁻³. Number 14: density 6.81 g cm⁻³. Number 15: density 13.80 g cm⁻³. Number 16: density 7.29 g cm⁻³. Number 17: density 8.34 g cm⁻³. Number 18: density 5.33 g cm⁻³. Number 19: density 6.77 g cm⁻³. Number 20: density 12.00 g cm⁻³. Number 21: density 6.38 g cm⁻³. Number 22: density 5.01 g cm⁻³. Number 23: density 11.92 g cm⁻³. Number 24: density 18.24 g cm⁻³.